! Tm2BeGe3Pt4 (PBE-GGA, optimized geometry); values from VASP
! Raw total energy, eV per atom: -5.9207
! Spin magnetization, μB per atom: 0.000
! Energy relative to the elements, eV per atom: -0.85
! D(E_F), states/eV/cell: 4.9
! SG: No. 115
! V, A^3/atom: 17.74
&SYSTEM
  ibrav = 0, nat = 10, ntyp = 4
/
ATOMIC_SPECIES
Tm 168.93 Tm.upf
Be 9.01 Be.upf
Ge 72.64 Ge.upf
Pt 195.08 Pt.upf
ATOMIC_POSITIONS angstrom
Tm 0.000 2.074 2.428
Tm 2.074 0.000 7.882
Be 2.074 2.074 0.000
Ge 0.000 0.000 0.000
Ge 0.000 2.074 6.608
Ge 2.074 0.000 3.703
Pt 0.000 0.000 5.155
Pt 0.000 2.074 9.013
Pt 2.074 0.000 1.298
Pt 2.074 2.074 5.155
CELL_PARAMETERS angstrom
4.148 0.000 0.000
0.000 4.148 0.000
0.000 0.000 10.311